(1)
VASP calculation (PBE-GGA) on a relaxed structure of HfMn2As.

Unit cell a=5.776 b=5.776 c=5.776 alpha=102.22 beta=102.22 gamma=125.22
Positions (direct):
Hf 0.000 0.000 0.000
Hf 0.750 0.250 0.500
Mn 0.171 0.625 0.046
Mn 0.375 0.421 0.546
Mn 0.579 0.125 0.954
Mn 0.875 0.829 0.454
As 0.250 0.750 0.500
As 0.500 0.500 0.000

Properties
- DOS(E_F) (states/eV/f.u.) = 4.563
- formation energy from the elements (eV/atom) = 0.132
- raw total energy (eV per formula unit) = -32.4
- symmetry = I-42d (122)

---

(2)
VASP calculation (PBE-GGA) on a relaxed structure of Tb2Dy7Y3.

Unit cell a=5.776 b=3.583 c=18.633 alpha=90.00 beta=93.51 gamma=90.00
Positions (direct):
Tb 0.207 0.000 0.294
Tb 0.793 0.000 0.706
Dy 0.183 0.500 0.144
Dy 0.242 0.000 0.463
Dy 0.315 0.000 0.822
Dy 0.500 0.500 0.000
Dy 0.685 0.000 0.178
Dy 0.758 0.000 0.537
Dy 0.817 0.500 0.856
Y 0.000 0.000 0.000
Y 0.280 0.500 0.632
Y 0.720 0.500 0.368

Properties
- DOS(E_F) (states/eV/f.u.) = 15.440
- formation energy from the elements (eV/atom) = 0.085
- raw total energy (eV per formula unit) = -59.8
- symmetry = P2/m (10)
- energy above the lowest structure with this stoichiometry (eV/atom) = 0.0099